1.
Compound: Fe2HPtAu
Source: the Alexandria database
Functional: PBE
Structure: relaxed

D(E_F) in states/eV/atom: 0.6945
Relative energy among the computed polymorphs in kJ/mol of formula units: 0.0
Crystal system: tetragonal

a b c (Å): 3.934 3.934 3.905
angles (deg): 90.00 90.00 90.00
Fractional coordinates of all 5 atoms:
Fe 0.000 0.500 0.000
Fe 0.500 0.000 0.000
H 0.000 0.000 0.000
Pt 0.000 0.000 0.500
Au 0.500 0.500 0.500

2.
Compound: TiBe9Pt2
Source: the Alexandria database
Functional: PBE
Structure: relaxed

D(E_F) in states/eV/atom: 0.3309
Relative energy among the computed polymorphs in kJ/mol of formula units: 0.0
DFT formation energy in eV/atom: -0.42
Crystal system: trigonal

a b c (Å): 7.469 7.469 7.469
angles (deg): 34.07 34.07 34.07
Fractional coordinates of all 12 atoms:
Ti 0.000 0.000 0.000
Be 0.082 0.583 0.583
Be 0.333 0.333 0.333
Be 0.417 0.417 0.918
Be 0.417 0.918 0.417
Be 0.500 0.500 0.500
Be 0.583 0.082 0.583
Be 0.583 0.583 0.082
Be 0.667 0.667 0.667
Be 0.918 0.417 0.417
Pt 0.135 0.135 0.135
Pt 0.865 0.865 0.865

Question: Which value of relative energy among the computed polymorphs does entry 2 give?
Answer: 0.0 kJ/mol of formula units

Question: Which formula does entry 2 have?
Answer: TiBe9Pt2